[1]
Compound: RbTlBiCl6
Source: Alexandria via LeMat-Bulk
Functional: GGA-PBE
Structure: relaxed

a b c (Å): 7.3526 7.3526 14.3063
angles (deg): 90.00 90.00 120.00
Element x y z (fractional)
Rb 0.0000 0.0000 0.0000
Rb 0.0000 0.0000 0.5000
Tl 0.6667 0.3333 0.2500
Tl 0.3333 0.6667 0.7500
Bi 0.3333 0.6667 0.2500
Bi 0.6667 0.3333 0.7500
Cl 0.6202 0.6351 0.1385
Cl 0.0149 0.3798 0.1385
Cl 0.3798 0.0149 0.6385
Cl 0.9851 0.6202 0.8615
Cl 0.3649 0.3798 0.3615
Cl 0.0149 0.6351 0.3615
Cl 0.6351 0.0149 0.8615
Cl 0.6202 0.9851 0.3615
Cl 0.9851 0.3649 0.6385
Cl 0.3649 0.9851 0.1385
Cl 0.6351 0.6202 0.6385
Cl 0.3798 0.3649 0.8615

Calculated values
The total DFT energy (no corrections) comes out at -3.1549 eV/atom. The calculated density is 3.53 g cm⁻³. Its magnetization is 0.653 μB per formula unit. The density of states at the Fermi level is 10.16 states/eV/cell. As for the crystal system: trigonal.

***

[2]
Compound: RbTl2BiCl6
Source: Alexandria via LeMat-Bulk
Functional: GGA-PBE
Structure: relaxed

a b c (Å): 7.9706 7.9704 8.1930
angles (deg): 60.87 60.89 59.97
Element x y z (fractional)
Rb 0.8121 0.8122 0.5634
Tl 0.5295 0.5295 0.4117
Tl 0.0210 0.0211 0.9369
Bi 0.3221 0.3221 0.0335
Cl 0.5653 0.2095 0.2449
Cl 0.2092 0.9804 0.2452
Cl 0.9802 0.5657 0.2448
Cl 0.4196 0.6677 0.7781
Cl 0.6679 0.1341 0.7785
Cl 0.1346 0.4194 0.7782

Calculated values
The total DFT energy (no corrections) comes out at -3.2940 eV/atom. The calculated density is 4.08 g cm⁻³. Its magnetization is 0.000 μB per formula unit. The density of states at the Fermi level is 0.00 states/eV/cell. As for the crystal system: trigonal.

***

[3]
Compound: RbVBiCl6
Source: Alexandria via LeMat-Bulk
Functional: GGA-PBE
Structure: relaxed

a b c (Å): 6.8865 6.8865 14.4718
angles (deg): 90.00 90.00 120.00
Element x y z (fractional)
Rb 0.0000 0.0000 0.0000
Rb 0.0000 0.0000 0.5000
V 0.3333 0.6667 0.2500
V 0.6667 0.3333 0.7500
Bi 0.6667 0.3333 0.2500
Bi 0.3333 0.6667 0.7500
Cl 0.6140 0.6411 0.1488
Cl 0.0271 0.3860 0.1488
Cl 0.3860 0.0271 0.6488
Cl 0.9729 0.6140 0.8512
Cl 0.3589 0.3860 0.3512
Cl 0.0271 0.6411 0.3512
Cl 0.6411 0.0271 0.8512
Cl 0.6140 0.9729 0.3512
Cl 0.9729 0.3589 0.6488
Cl 0.3589 0.9729 0.1488
Cl 0.6411 0.6140 0.6488
Cl 0.3860 0.3589 0.8512

Calculated values
The total DFT energy (no corrections) comes out at -4.0686 eV/atom. The calculated density is 3.12 g cm⁻³. Its magnetization is 3.000 μB per formula unit. As for the crystal system: trigonal.

***

[4]
Compound: RbZn2BiCl
Source: Alexandria via LeMat-Bulk
Functional: GGA-PBE
Structure: relaxed

a b c (Å): 7.3323 5.9787 7.3323
angles (deg): 90.00 90.00 90.00
Element x y z (fractional)
Zn 0.0000 0.0000 0.5000
Zn 0.5000 0.0000 0.0000
Bi 0.5000 0.5000 0.5000
Rb 0.0000 0.0000 0.0000
Cl 0.0000 0.5000 0.0000

Calculated values
The total DFT energy (no corrections) comes out at -1.5409 eV/atom. The calculated density is 2.38 g cm⁻³. Its magnetization is 3.000 μB per formula unit. The density of states at the Fermi level is 0.00 states/eV/cell. As for the crystal system: tetragonal.